## BiPbBr3 (PBE)

Data for a relaxed structure of BiPbBr3.

abc: 5.8992 5.8992 5.8992
angles: 90.00 90.00 90.00
Sites, in units of the cell vectors:
Bi  0.5000  0.5000  0.5000
Br  0.0000  0.0000  0.5000
Br  0.0000  0.5000  0.0000
Br  0.5000  0.0000  0.0000
Pb  0.0000  0.0000  0.0000

Summary:
Magnetic moment in Bohr magnetons per cell: 2.01
SG: Pm-3m (221)
ΔE to the lowest computed polymorph in eV/atom: 0.000
Final energy in eV for the cell shown: -13.5
Formation energy from raw total energies in eV/atom: -0.175